Computed, not measured: a relaxed structure of MgAgMo2O8 at the PBE with a Hubbard U level of DFT.

Output
DOS at the Fermi energy	1.5	states/eV per cell
E_tot	-6.268	eV per atom
density	4.52	g cm⁻³

Structure (POSCAR):
```
MgAgMo2O8
1.0
-3.482 3.482 3.425
3.482 -3.482 3.425
3.482 3.482 -3.425
Mg Ag Mo O
1 1 2 8
Cartesian
0.000 0.000 0.000 Mg
3.482 0.000 1.713 Ag
0.000 0.000 3.425 Mo
0.000 3.482 1.713 Mo
2.089 3.482 -1.133 O
1.392 0.000 2.293 O
0.000 1.999 0.686 O
3.482 2.089 1.133 O
0.000 4.964 0.686 O
0.000 1.392 4.558 O
-1.483 3.482 2.739 O
1.483 3.482 2.739 O
```